(1)
# GaCu2Au8

Crystalline GaCu2Au8 at its relaxed geometry (PBE, Alexandria).

a b c (Å): 4.878 6.768 6.768
angles (deg): 85.76 76.40 76.40
Fractional coordinates of all 11 atoms:
Ga: 0.000 0.000 0.000
Cu: 0.477 0.134 0.134
Cu: 0.523 0.866 0.866
Au: 0.793 0.149 0.678
Au: 0.207 0.322 0.851
Au: 0.897 0.269 0.269
Au: 0.103 0.731 0.731
Au: 0.793 0.678 0.149
Au: 0.207 0.851 0.322
Au: 0.301 0.419 0.419
Au: 0.699 0.581 0.581

## Properties
Its total energy is -36.52 eV per cell. Its formation energy is 83 meV/atom. For the distance to the lowest polymorph of the same formula, the calculation gives 124.0 meV per atom. As for the magnetization: 0.0 μB per cell. As for the density: 13.95 Mg/m³. The symmetry is C2/m.

***

(2)
# CrRhBr2

Crystalline CrRhBr2 at its relaxed geometry (PBE, Alexandria).

a b c (Å): 4.800 4.800 4.800
angles (deg): 60.00 60.00 60.00
Site moments in Bohr magnetons follow the coordinates.
Fractional coordinates of all 4 atoms:
Br: 0.000 0.000 0.000  -0.05
Br: 0.250 0.250 0.250  -0.09
Cr: 0.500 0.500 0.500  3.64
Rh: 0.750 0.750 0.750  -0.89

## Properties
Its total energy is -17.59 eV per cell. For the distance to the lowest polymorph of the same formula, the calculation gives 753.9 meV per atom. As for the magnetization: 3.0 μB per cell. As for the density: 6.68 Mg/m³. The symmetry is F-43m.

***

(3)
# ErPuTlHg

Crystalline ErPuTlHg at its relaxed geometry (PBE, Alexandria).

a b c (Å): 5.332 5.332 5.332
angles (deg): 60.00 60.00 60.00
Site moments in Bohr magnetons follow the coordinates.
Fractional coordinates of all 4 atoms:
Tl: 0.000 0.000 0.000  -0.01
Er: 0.750 0.750 0.750  0.29
Hg: 0.500 0.500 0.500  0.05
Pu: 0.250 0.250 0.250  5.51

## Properties
Its total energy is -22.37 eV per cell. Its formation energy is -202 meV/atom. For the distance to the lowest polymorph of the same formula, the calculation gives 20.0 meV per atom. As for the magnetization: 6.3 μB per cell. As for the density: 12.65 Mg/m³. The symmetry is F-43m.

***

(4)
# SrLa3Ir

Crystalline SrLa3Ir at its relaxed geometry (PBE, Alexandria).

a b c (Å): 7.900 7.934 7.702
angles (deg): 111.49 105.18 111.37
Fractional coordinates of all 10 atoms:
Sr: 0.392 0.122 0.678
Sr: 0.912 0.225 0.609
Ir: 0.239 0.761 0.853
Ir: 0.638 0.585 0.785
La: 0.798 0.045 0.011
La: 0.471 0.662 0.093
La: 0.314 0.566 0.512
La: 0.391 0.157 0.187
La: 0.972 0.653 0.080
La: 0.873 0.688 0.583

## Properties
Its total energy is -53.62 eV per cell. Its formation energy is -297 meV/atom. For the distance to the lowest polymorph of the same formula, the calculation gives 25.6 meV per atom. As for the magnetization: 0.0 μB per cell. As for the density: 6.21 Mg/m³. The symmetry is P1.

***

(5)
# Re2SiAg

Crystalline Re2SiAg at its relaxed geometry (PBE, Alexandria).

a b c (Å): 7.181 7.181 5.674
angles (deg): 50.74 50.74 90.00
Fractional coordinates of all 8 atoms:
Re: 0.578 0.125 0.250
Re: 0.172 0.625 0.250
Re: 0.375 0.422 0.750
Re: 0.875 0.828 0.750
Si: 0.500 0.500 0.000
Si: 0.250 0.750 0.500
Ag: 0.000 0.000 0.000
Ag: 0.750 0.250 0.500

## Properties
Its total energy is -60.22 eV per cell. As for the magnetization: 0.0 μB per cell. As for the density: 12.93 Mg/m³. The symmetry is I-42d.

***

(6)
# BeNiCl2

Crystalline BeNiCl2 at its relaxed geometry (PBE, Alexandria).

a b c (Å): 3.725 3.725 6.636
angles (deg): 86.41 86.41 52.61
Fractional coordinates of all 4 atoms:
Ni: 0.591 0.591 0.311
Be: 0.285 0.285 0.436
Cl: 0.928 0.928 0.135
Cl: 0.695 0.695 0.617

## Properties
Its total energy is -14.93 eV per cell. For the distance to the lowest polymorph of the same formula, the calculation gives 26.2 meV per atom. As for the magnetization: 0.0 μB per cell. As for the density: 3.15 Mg/m³. The symmetry is Cm.

***

(7)
# KLi2Y

Crystalline KLi2Y at its relaxed geometry (PBE, Alexandria).

a b c (Å): 7.082 7.082 7.082
angles (deg): 151.78 130.17 58.25
Fractional coordinates of all 4 atoms:
K: 0.228 0.728 0.500
Li: 0.971 0.971 0.000
Li: 0.777 0.277 0.500
Y: 0.524 0.524 0.000

## Properties
Its total energy is -10.09 eV per cell. Its formation energy is 325 meV/atom. As for the magnetization: 0.0 μB per cell. As for the density: 1.85 Mg/m³. The symmetry is Imm2.

***

(8)
# Pr2TiAs4Pd3

Crystalline Pr2TiAs4Pd3 at its relaxed geometry (PBE, Alexandria).

a b c (Å): 4.377 4.377 10.476
angles (deg): 90.00 90.00 90.00
Site moments in Bohr magnetons follow the coordinates.
Fractional coordinates of all 10 atoms:
Pr: 0.500 0.000 0.234  0.05
Pr: 0.000 0.500 0.766  0.05
Ti: 0.500 0.500 0.500  0.68
As: 0.500 0.500 0.000  0.00
As: 0.000 0.000 0.000  0.01
As: 0.500 0.000 0.635  -0.02
As: 0.000 0.500 0.365  -0.02
Pd: 0.000 0.000 0.500  0.03
Pd: 0.500 0.000 0.873  0.00
Pd: 0.000 0.500 0.127  0.00

## Properties
Its total energy is -60.46 eV per cell. Its formation energy is -883 meV/atom. As for the magnetization: 1.1 μB per cell. As for the density: 7.85 Mg/m³. The symmetry is P-4m2.

***

Please write out number 5 again, unchanged.
# Re2SiAg

Crystalline Re2SiAg at its relaxed geometry (PBE, Alexandria).

a b c (Å): 7.181 7.181 5.674
angles (deg): 50.74 50.74 90.00
Fractional coordinates of all 8 atoms:
Re: 0.578 0.125 0.250
Re: 0.172 0.625 0.250
Re: 0.375 0.422 0.750
Re: 0.875 0.828 0.750
Si: 0.500 0.500 0.000
Si: 0.250 0.750 0.500
Ag: 0.000 0.000 0.000
Ag: 0.750 0.250 0.500

## Properties
Its total energy is -60.22 eV per cell. As for the magnetization: 0.0 μB per cell. As for the density: 12.93 Mg/m³. The symmetry is I-42d.